No. 1
The following is a GGA-PBE calculation of a geometry-optimized RbBaRePt2 structure, from Alexandria via LeMat-Bulk.

Properties
Total energy ... -3.228 eV/atom
Total moment ... 0.7880 μB per atom
Energy of formation from the pure elements ... 2.2562 eV/atom
SG ... P4/mmm, No. 123

a = 5.2885 Å, b = 5.2885 Å, c = 5.8772 Å
α = 90.00°, β = 90.00°, γ = 90.00°
With the nearest neighbours (Å) after each atom.
Sites, in units of the cell vectors:
Rb1 0.0000 0.0000 0.0000  4 Pt 2.64, 2 Ba 2.94
Ba1 0.0000 0.0000 0.5000  2 Rb 2.94
Re1 0.5000 0.5000 0.5000  4 Ba 3.74, 8 Pt 3.95
Pt1 0.0000 0.5000 0.0000  2 Rb 2.64
Pt2 0.5000 0.0000 0.0000  2 Rb 2.64


No. 2
The following is a GGA-PBE calculation of a geometry-optimized RbBaSb2Pt structure, from Alexandria via LeMat-Bulk.

Properties
Total energy ... -2.167 eV/atom
Total moment ... 0.0000 μB per atom
Formation energy without anion corrections ... 1.268 eV per atom
SG ... P4/mmm, No. 123

a = 5.8939 Å, b = 5.8939 Å, c = 6.1877 Å
α = 90.00°, β = 90.00°, γ = 90.00°
With the nearest neighbours (Å) after each atom.
Sites, in units of the cell vectors:
Rb1 0.0000 0.0000 0.0000  4 Sb 2.95, 2 Ba 3.09
Ba1 0.0000 0.0000 0.5000  2 Rb 3.09
Sb1 0.0000 0.5000 0.0000  2 Rb 2.95
Sb2 0.5000 0.0000 0.0000  2 Rb 2.95
Pt1 0.5000 0.5000 0.5000  4 Ba 4.17, 8 Sb 4.27


No. 3
The following is a GGA-PBE calculation of a geometry-optimized RbBaSr2Pt structure, from Alexandria via LeMat-Bulk.

Properties
Total energy ... -2.824 eV/atom
Total moment ... 0.0000 μB per atom
Energy of formation from the pure elements ... -0.3646 eV/atom
SG ... P4/mmm, No. 123

a = 6.1880 Å, b = 6.1880 Å, c = 6.3720 Å
α = 90.00°, β = 90.00°, γ = 90.00°
With the nearest neighbours (Å) after each atom.
Sites, in units of the cell vectors:
Rb1 0.0000 0.0000 0.0000  4 Ba 4.38, 8 Sr 4.44
Ba1 0.5000 0.5000 0.0000  2 Pt 3.19
Sr1 0.0000 0.5000 0.5000  2 Pt 3.09
Sr2 0.5000 0.0000 0.5000  2 Pt 3.09
Pt1 0.5000 0.5000 0.5000  4 Sr 3.09, 2 Ba 3.19


No. 4
The following is a GGA-PBE calculation of a geometry-optimized RbBa2TlPt structure, from Alexandria via LeMat-Bulk.

Properties
Total energy ... -2.923 eV/atom
Total moment ... 0.1523 μB per atom
Energy of formation from the pure elements ... -0.2790 eV/atom
SG ... P4/mmm, No. 123

a = 6.3199 Å, b = 6.3199 Å, c = 5.4886 Å
α = 90.00°, β = 90.00°, γ = 90.00°
With the nearest neighbours (Å) after each atom.
Sites, in units of the cell vectors:
Rb1 0.0000 0.0000 0.0000  8 Ba 4.19, 4 Tl 4.47
Ba1 0.0000 0.5000 0.5000  2 Pt 3.16
Ba2 0.5000 0.0000 0.5000  2 Pt 3.16
Tl1 0.5000 0.5000 0.0000  2 Pt 2.74
Pt1 0.5000 0.5000 0.5000  2 Tl 2.74


> Look up the total energy of the first one.

-3.228 eV/atom